Record 1
LiV2Fe2, optimized geometry, DFT GGA-PBE; energy above the lowest structure with this stoichiometry = 0 meV/atom; raw total energy = -7.314 eV per atom; energy relative to the elements = 49 kJ/mol of formula units
1.0
6.825 0.000 0.000
0.000 6.825 0.000
0.000 0.000 2.707
Li V Fe
2 4 4
direct
0.000 0.000 0.000 Li
0.500 0.500 0.000 Li
0.153 0.347 0.500 V
0.347 0.847 0.500 V
0.653 0.153 0.500 V
0.847 0.653 0.500 V
0.142 0.642 0.000 Fe
0.358 0.142 0.000 Fe
0.642 0.858 0.000 Fe
0.858 0.358 0.000 Fe

=====

Record 2
LaNi3P3, optimized geometry, DFT GGA-PBE; energy above the lowest structure with this stoichiometry = 29 meV/atom; raw total energy = -6.215 eV per atom; energy relative to the elements = -483 kJ/mol of formula units
1.0
3.236 1.869 6.849
-3.236 1.869 6.849
0.000 -3.737 6.849
La Ni P
2 6 6
direct
0.167 0.167 0.167 La
0.833 0.833 0.833 La
0.036 0.373 0.708 Ni
0.292 0.964 0.627 Ni
0.373 0.708 0.036 Ni
0.627 0.292 0.964 Ni
0.708 0.036 0.373 Ni
0.964 0.627 0.292 Ni
0.078 0.729 0.401 P
0.271 0.599 0.922 P
0.401 0.078 0.729 P
0.599 0.922 0.271 P
0.729 0.401 0.078 P
0.922 0.271 0.599 P

=====

Record 3
Ba8HO2, optimized geometry, DFT GGA-PBE; raw total energy = -3.546 eV per atom
1.0
6.883 -5.477 0.000
6.883 5.477 0.000
-0.081 0.000 6.957
Ba H O
8 1 2
direct
0.082 0.692 0.731 Ba
0.164 0.164 0.795 Ba
0.308 0.918 0.269 Ba
0.373 0.373 0.237 Ba
0.627 0.627 0.763 Ba
0.692 0.082 0.731 Ba
0.836 0.836 0.205 Ba
0.918 0.308 0.269 Ba
0.000 0.000 0.500 H
0.194 0.194 0.160 O
0.806 0.806 0.840 O

=====

Record 4
La2MgGaAu6, optimized geometry, DFT GGA-PBE; raw total energy = -3.955 eV per atom; energy relative to the elements = -522 kJ/mol of formula units
1.0
5.573 0.000 0.000
2.782 6.437 0.000
2.785 0.098 6.531
La Mg Ga Au
2 1 1 6
direct
0.244 0.286 0.227 La
0.756 0.714 0.773 La
0.000 0.000 0.000 Mg
0.500 0.500 0.500 Ga
0.231 0.272 0.771 Au
0.249 0.903 0.599 Au
0.271 0.728 0.231 Au
0.729 0.272 0.769 Au
0.751 0.097 0.401 Au
0.769 0.728 0.229 Au

=====

Record 5
SiO, optimized geometry, DFT GGA-PBE; formation energy without anion corrections = -1.501 eV/atom; raw total energy = -6.692 eV per atom
1.0
2.786 0.000 0.000
0.000 12.956 0.000
0.000 0.000 4.001
Si O
6 6
direct
0.250 0.032 0.249 Si
0.250 0.468 0.249 Si
0.250 0.750 0.532 Si
0.750 0.250 0.468 Si
0.750 0.532 0.751 Si
0.750 0.968 0.751 Si
0.250 0.250 0.684 O
0.250 0.642 0.755 O
0.250 0.858 0.755 O
0.750 0.142 0.245 O
0.750 0.358 0.245 O
0.750 0.750 0.316 O

=====

- What is the raw total energy in the fifth record?
  -6.692 eV per atom

=====

- Number 3 is which compound?
  Ba8HO2

=====

- Among the records above, which one has the lowest raw total energy?
  LiV2Fe2